(one)
{
  "formula": "La2MoIr",
  "functional": "PBE",
  "state": "relaxed",
  "n_ef_per_ev_cell": 4.30,
  "magnetic_moment_mub_per_fu": 0.0,
  "mass_density_g_cm3": 10.6,
  "lattice": [[-3.286, 3.215, 0.742], [-2.111, -1.779, -1.637], [-2.070, -3.178, 4.604]],
  "species": ["La", "La", "Ir", "Mo"],
  "fractional_positions": [[0.000, 0.489, 0.503], [0.000, 0.011, 0.997], [0.500, 0.750, 0.750], [0.500, 0.250, 0.250]]
}

---

(two)
{
  "formula": "La2MoIr",
  "functional": "PBE",
  "state": "relaxed",
  "n_ef_per_ev_cell": 4.81,
  "magnetic_moment_mub_per_fu": 0.0,
  "mass_density_g_cm3": 10.9,
  "lattice": [[4.959, 0.000, 0.000], [2.479, 4.294, 0.000], [2.479, 1.431, 4.049]],
  "species": ["Ir", "La", "La", "Mo"],
  "fractional_positions": [[0.500, 0.500, 0.500], [0.250, 0.250, 0.250], [0.000, 0.000, 0.000], [0.750, 0.750, 0.750]]
}

---

(three)
{
  "formula": "La2MoIr",
  "functional": "PBE",
  "state": "relaxed",
  "n_ef_per_ev_cell": 6.10,
  "magnetic_moment_mub_per_fu": 1.0,
  "mass_density_g_cm3": 10.1,
  "lattice": [[-3.622, 0.577, -3.533], [-3.567, -0.186, 3.630], [3.794, 3.380, 0.331]],
  "species": ["Ir", "Mo", "La", "La"],
  "fractional_positions": [[0.750, 0.250, 0.500], [0.250, 0.750, 0.500], [0.500, 0.500, 0.000], [0.000, 0.000, 0.000]]
}

---

(four)
{
  "formula": "La2MoIr",
  "functional": "PBE",
  "state": "relaxed",
  "n_ef_per_ev_cell": 3.92,
  "magnetic_moment_mub_per_fu": 1.8,
  "mass_density_g_cm3": 9.0,
  "lattice": [[-1.106, -2.733, 8.050], [-0.036, -5.900, 6.220], [2.591, -3.415, 7.425]],
  "species": ["La", "La", "Ir", "Mo"],
  "fractional_positions": [[0.491, 0.491, 0.491], [0.009, 0.009, 0.009], [0.750, 0.750, 0.750], [0.250, 0.250, 0.250]]
}

---

The least stable of them is (four).

---

(one)
{
  "formula": "La2MoIr",
  "functional": "PBE",
  "state": "relaxed",
  "n_ef_per_ev_cell": 8.92,
  "magnetic_moment_mub_per_fu": 2.5,
  "mass_density_g_cm3": 9.5,
  "lattice": [[-0.989, -7.692, -1.550], [5.376, -1.803, 5.512], [-0.084, -4.892, 4.155]],
  "species": ["La", "La", "La", "La", "Mo", "Mo", "Ir", "Ir"],
  "fractional_positions": [[0.104, 0.625, 0.250], [0.375, 0.354, 0.750], [0.646, 0.125, 0.250], [0.875, 0.896, 0.750], [0.250, 0.750, 0.500], [0.500, 0.500, 0.000], [0.000, 0.000, 0.000], [0.750, 0.250, 0.500]]
}

---

(two)
{
  "formula": "La2MoIr",
  "functional": "PBE",
  "state": "relaxed",
  "n_ef_per_ev_cell": 6.16,
  "magnetic_moment_mub_per_fu": 0.4,
  "mass_density_g_cm3": 7.8,
  "lattice": [[-2.081, 3.465, 7.132], [-0.992, -0.491, 8.123], [1.992, 2.444, 7.568]],
  "species": ["Ir", "Mo", "La", "La"],
  "fractional_positions": [[0.779, 0.779, 0.779], [0.470, 0.470, 0.470], [0.035, 0.035, 0.035], [0.216, 0.216, 0.216]]
}

---

(three)
{
  "formula": "La2MoIr",
  "functional": "PBE",
  "state": "relaxed",
  "n_ef_per_ev_cell": 3.92,
  "magnetic_moment_mub_per_fu": 0.0,
  "mass_density_g_cm3": 9.6,
  "lattice": [[3.209, 0.000, 0.000], [0.000, 3.214, 0.000], [0.000, 0.000, 9.447]],
  "species": ["La", "La", "Ir", "Mo"],
  "fractional_positions": [[0.500, 0.500, 0.311], [0.000, 0.000, 0.938], [0.500, 0.500, 0.696], [0.000, 0.000, 0.555]]
}

---

The least stable of them is (one).

---

(one)
{
  "formula": "LaMoIr2",
  "functional": "PBE",
  "state": "relaxed",
  "n_ef_per_ev_cell": 3.99,
  "magnetic_moment_mub_per_fu": 0.0,
  "mass_density_g_cm3": 13.9,
  "lattice": [[-2.342, -4.193, 1.437], [2.498, 0.094, 4.346], [-2.152, 1.614, 1.202]],
  "species": ["Mo", "Ir", "Ir", "La"],
  "fractional_positions": [[0.000, 0.500, 0.500], [0.500, 0.500, 0.000], [0.000, 0.000, 0.000], [0.500, 0.000, 0.500]]
}

---

(two)
{
  "formula": "LaMoIr2",
  "functional": "PBE",
  "state": "relaxed",
  "n_ef_per_ev_cell": 6.58,
  "magnetic_moment_mub_per_fu": 0.0,
  "mass_density_g_cm3": 13.6,
  "lattice": [[-4.302, 0.923, 1.767], [-2.884, 3.025, -2.239], [-3.869, -1.613, -2.215]],
  "species": ["Ir", "Ir", "Mo", "La"],
  "fractional_positions": [[0.250, 0.250, 0.250], [0.750, 0.750, 0.750], [0.000, 0.000, 0.000], [0.500, 0.500, 0.500]]
}

---

(three)
{
  "formula": "LaMoIr2",
  "functional": "PBE",
  "state": "relaxed",
  "n_ef_per_ev_cell": 5.61,
  "magnetic_moment_mub_per_fu": 0.2,
  "mass_density_g_cm3": 14.3,
  "lattice": [[10.088, -0.017, -0.010], [9.680, 2.840, -0.010], [9.680, 1.382, 2.480]],
  "species": ["La", "Ir", "Ir", "Mo"],
  "fractional_positions": [[0.504, 0.504, 0.504], [0.258, 0.258, 0.258], [0.001, 0.001, 0.001], [0.737, 0.737, 0.737]]
}

---

The least stable of them is (three).

---

(one)
{
  "formula": "LaMoIr2",
  "functional": "PBE",
  "state": "relaxed",
  "n_ef_per_ev_cell": 4.21,
  "magnetic_moment_mub_per_fu": 0.0,
  "mass_density_g_cm3": 13.7,
  "lattice": [[-0.437, 5.627, -2.017], [-3.347, 1.559, -4.721], [0.633, -2.233, 5.526]],
  "species": ["La", "Mo", "Ir", "Ir"],
  "fractional_positions": [[0.490, 0.490, 0.000], [0.785, 0.285, 0.500], [0.224, 0.724, 0.500], [0.001, 0.001, 0.000]]
}

---

(two)
{
  "formula": "LaMoIr2",
  "functional": "PBE",
  "state": "relaxed",
  "n_ef_per_ev_cell": 4.52,
  "magnetic_moment_mub_per_fu": 0.0,
  "mass_density_g_cm3": 14.1,
  "lattice": [[5.113, -0.029, 0.000], [1.726, 4.813, 0.000], [-3.419, -2.392, 2.955]],
  "species": ["Mo", "La", "Ir", "Ir"],
  "fractional_positions": [[0.750, 0.250, 0.500], [0.500, 0.500, 0.000], [0.250, 0.750, 0.500], [0.000, 0.000, 0.000]]
}

---

(three)
{
  "formula": "LaMoIr2",
  "functional": "PBE",
  "state": "relaxed",
  "n_ef_per_ev_cell": 5.02,
  "magnetic_moment_mub_per_fu": 1.2,
  "mass_density_g_cm3": 13.9,
  "lattice": [[4.994, -0.021, 0.000], [1.271, 4.830, 0.000], [-3.132, -2.404, 3.057]],
  "species": ["Ir", "Ir", "Mo", "La"],
  "fractional_positions": [[0.500, 0.500, 0.000], [0.000, 0.000, 0.000], [0.750, 0.250, 0.500], [0.250, 0.750, 0.500]]
}

---

The least stable of them is (two).